No. 1
# Li5Au2 (PBE-GGA, optimized geometry)
data_Li5Au2
_cell_length_a 8.262
_cell_length_b 8.262
_cell_length_c 7.971
_cell_angle_alpha 90.00
_cell_angle_beta 90.00
_cell_angle_gamma 120.00
_space_group_name_H-M_alt 'P 1'
_space_group_IT_number 1
loop_
_space_group_symop_operation_xyz
'x,y,z'
loop_
_atom_site_label
_atom_site_fract_x
_atom_site_fract_y
_atom_site_fract_z
Au1 0.333 0.667 0.750
Li1 0.808 0.192 0.440
Li2 0.538 0.077 0.750
Li3 0.808 0.192 0.060
Au2 0.667 0.333 0.250
Li4 0.462 0.538 0.250
Li5 0.808 0.616 0.440
Li6 0.192 0.808 0.560
Li7 0.192 0.808 0.940
Li8 0.462 0.923 0.250
Li9 0.192 0.384 0.560
Au3 0.245 0.123 0.750
Li10 0.616 0.808 0.940
Li11 0.616 0.808 0.560
Li12 0.538 0.462 0.750
Li13 0.384 0.192 0.440
Au4 0.123 0.245 0.250
Au5 0.877 0.755 0.750
Li14 0.077 0.538 0.250
Li15 0.000 0.000 0.000
Au6 0.877 0.123 0.750
Au7 0.123 0.877 0.250
Au8 0.755 0.877 0.250
Li16 0.923 0.462 0.750
Li17 0.192 0.384 0.940
Li18 0.384 0.192 0.060
Li19 0.000 0.000 0.500
Li20 0.808 0.616 0.060
# Volume (Å³/atom): 16.8
# Polymorph energy (0 for the lowest one) (eV/f.u.): 0.13
# Total DFT energy (no corrections) (eV per cell): -75.63

***

No. 2
# Li3Au2 (PBE-GGA, optimized geometry)
data_Li3Au2
_cell_length_a 7.363
_cell_length_b 7.363
_cell_length_c 2.981
_cell_angle_alpha 90.00
_cell_angle_beta 90.00
_cell_angle_gamma 90.00
_space_group_name_H-M_alt 'P 1'
_space_group_IT_number 1
loop_
_space_group_symop_operation_xyz
'x,y,z'
loop_
_atom_site_label
_atom_site_fract_x
_atom_site_fract_y
_atom_site_fract_z
Au1 0.151 0.651 0.000
Li1 0.646 0.146 0.500
Au2 0.849 0.349 0.000
Li2 0.854 0.646 0.500
Li3 0.500 0.500 0.000
Li4 0.354 0.854 0.500
Au3 0.349 0.151 0.000
Li5 0.000 0.000 0.000
Au4 0.651 0.849 0.000
Li6 0.146 0.354 0.500
# Volume (Å³/atom): 16.2
# Polymorph energy (0 for the lowest one) (eV/f.u.): 0.14
# Total DFT energy (no corrections) (eV per cell): -29.19